Here is a relaxed structure of Cd6Pb4Cl19 from the Alexandria database. Energies are from PBE-GGA.

Lattice parameters (Å, degrees): 10.360 10.360 10.360 109.47 109.47 109.47
Atoms (fractional coordinates):
Cd 0.339 0.500 0.839
Cd 0.661 0.500 0.161
Cd 0.161 0.661 0.500
Cd 0.839 0.339 0.500
Cd 0.500 0.839 0.339
Cd 0.500 0.161 0.661
Pb 0.000 0.000 0.704
Pb 0.000 0.704 0.000
Pb 0.296 0.296 0.296
Pb 0.704 0.000 0.000
Cl 0.659 0.000 0.659
Cl 0.341 0.000 0.341
Cl 0.341 0.341 0.000
Cl 0.659 0.659 0.000
Cl 0.000 0.659 0.659
Cl 0.000 0.341 0.341
Cl 0.000 0.000 0.000
Cl 0.381 0.345 0.606
Cl 0.619 0.225 0.964
Cl 0.739 0.775 0.394
Cl 0.964 0.619 0.225
Cl 0.261 0.655 0.036
Cl 0.606 0.381 0.345
Cl 0.036 0.261 0.655
Cl 0.394 0.739 0.775
Cl 0.655 0.036 0.261
Cl 0.225 0.964 0.619
Cl 0.345 0.606 0.381
Cl 0.775 0.394 0.739

Output
Formation energy from raw total energies: -28.81 eV per formula unit
E_tot: -2.90 eV per atom
SG: No. 197
DOS(E_F): 0.241 states/eV/atom

=====

Here is a relaxed structure of CdPb2Cl from the Alexandria database. Energies are from PBE-GGA.

Lattice parameters (Å, degrees): 7.241 7.241 5.077 69.69 69.69 27.89
Atoms (fractional coordinates):
Pb 0.033 0.033 0.967
Pb 0.753 0.753 0.747
Cl 0.243 0.243 0.257
Cd 0.470 0.470 0.530

Output
Formation energy from raw total energies: -1.00 eV per formula unit
E_tot: -2.80 eV per atom
SG: No. 8
DOS(E_F): 0.229 states/eV/atom
Offset from the most stable computed form: 0.023 eV per atom

=====

Here is a relaxed structure of Cd2Pb2Cl7 from the Alexandria database. Energies are from PBE-GGA.

Lattice parameters (Å, degrees): 7.236 7.507 7.507 103.63 95.48 95.48
Atoms (fractional coordinates):
Cd 0.417 0.255 0.255
Cd 0.583 0.745 0.745
Pb 0.000 0.305 0.695
Pb 0.000 0.695 0.305
Cl 0.776 0.928 0.555
Cl 0.224 0.445 0.072
Cl 0.224 0.072 0.445
Cl 0.776 0.555 0.928
Cl 0.500 0.000 0.000
Cl 0.245 0.585 0.585
Cl 0.755 0.415 0.415

Output
Formation energy from raw total energies: -10.29 eV per formula unit
E_tot: -2.95 eV per atom
SG: No. 12
DOS(E_F): 0.428 states/eV/atom

=====

Here is a relaxed structure of CdPb2Cl from the Alexandria database. Energies are from PBE-GGA.

Lattice parameters (Å, degrees): 6.726 6.052 3.458 78.43 81.19 120.79
Atoms (fractional coordinates):
Pb 0.000 0.000 0.000
Pb 0.500 0.000 0.500
Cl 0.500 0.500 0.000
Cd 0.000 0.500 0.500

Output
Formation energy from raw total energies: -0.82 eV per formula unit
E_tot: -2.75 eV per atom
SG: No. 12
DOS(E_F): 0.312 states/eV/atom
Offset from the most stable computed form: 0.069 eV per atom

=====

Here is a relaxed structure of Cd2PbCl from the Alexandria database. Energies are from PBE-GGA.

Lattice parameters (Å, degrees): 5.602 3.279 5.858 90.01 90.00 90.00
Atoms (fractional coordinates):
Pb 0.500 0.766 0.626
Cl 0.000 0.680 0.624
Cd 0.000 0.791 0.124
Cd 0.500 0.263 0.126

Output
Formation energy from raw total energies: -1.02 eV per formula unit
E_tot: -2.10 eV per atom
SG: No. 6
DOS(E_F): 0.306 states/eV/atom
Offset from the most stable computed form: 0.000 eV per atom

=====

Here is a relaxed structure of Cd2PbCl from the Alexandria database. Energies are from PBE-GGA.

Lattice parameters (Å, degrees): 3.465 5.504 5.766 90.00 90.00 90.00
Atoms (fractional coordinates):
Pb 0.500 0.500 0.750
Cl 0.500 0.500 0.250
Cd 0.000 0.000 0.006
Cd 0.000 0.000 0.494

Output
Formation energy from raw total energies: -0.77 eV per formula unit
E_tot: -2.04 eV per atom
SG: No. 47
DOS(E_F): 0.272 states/eV/atom
Offset from the most stable computed form: 0.064 eV per atom